A relaxed FeHW2 crystal, computed with PBE-GGA.

Unit cell a=5.798 b=5.798 c=5.798 alpha=90.00 beta=90.00 gamma=90.00
Atoms (fractional coordinates):
Fe 0.000 0.000 0.000
Fe 0.000 0.500 0.500
Fe 0.500 0.000 0.500
Fe 0.500 0.500 0.000
H 0.000 0.000 0.500
H 0.000 0.500 0.000
H 0.500 0.000 0.000
H 0.500 0.500 0.500
W 0.250 0.250 0.250
W 0.250 0.250 0.750
W 0.250 0.750 0.250
W 0.250 0.750 0.750
W 0.750 0.250 0.250
W 0.750 0.250 0.750
W 0.750 0.750 0.250
W 0.750 0.750 0.750

## Properties
D(E_F) = 16.9 states/eV per cell
E_tot = -139.61 eV/cell
Symmetry = Fm-3m (225)
E above lowest polymorph = 254 meV/atom
Volume = 48.7 Å³/f.u.

A relaxed PrLuIr crystal, computed with PBE-GGA.

Unit cell a=3.494 b=3.494 c=12.823 alpha=90.00 beta=90.00 gamma=90.00
Atoms (fractional coordinates):
Pr 0.000 0.000 0.000
Pr 0.500 0.500 0.500
Lu 0.000 0.000 0.258
Lu 0.500 0.500 0.758
Ir 0.000 0.000 0.644
Ir 0.500 0.500 0.144

## Properties
D(E_F) = 8.1 states/eV per cell
E_tot = -39.35 eV/cell
Symmetry = I4mm (107)
E above lowest polymorph = 93 meV/atom
Volume = 78.3 Å³/f.u.

A relaxed CaZr2Pb crystal, computed with PBE-GGA.

Unit cell a=3.294 b=3.294 c=9.853 alpha=90.00 beta=90.00 gamma=90.00
Atoms (fractional coordinates):
Ca 0.000 0.000 0.000
Zr 0.000 0.000 0.495
Zr 0.500 0.500 0.710
Pb 0.500 0.500 0.256

## Properties
D(E_F) = 2.4 states/eV per cell
E_tot = -23.10 eV/cell
Symmetry = P4mm (99)
Volume = 106.9 Å³/f.u.

A relaxed Ba2MgCd3Sn4 crystal, computed with PBE-GGA.

Unit cell a=4.937 b=4.937 c=12.313 alpha=90.00 beta=90.00 gamma=90.00
Atoms (fractional coordinates):
Ba 0.000 0.500 0.250
Ba 0.500 0.000 0.750
Mg 0.000 0.000 0.500
Cd 0.000 0.500 0.864
Cd 0.500 0.000 0.136
Cd 0.500 0.500 0.500
Sn 0.000 0.000 0.000
Sn 0.000 0.500 0.634
Sn 0.500 0.000 0.366
Sn 0.500 0.500 0.000

## Properties
D(E_F) = 2.3 states/eV per cell
E_tot = -28.58 eV/cell
Symmetry = P-4m2 (115)
Volume = 300.1 Å³/f.u.

A relaxed LiMnCdGa crystal, computed with PBE-GGA.

Unit cell a=6.374 b=6.374 c=6.374 alpha=90.00 beta=90.00 gamma=90.00
Atoms (fractional coordinates):
Li 0.000 0.000 0.000
Li 0.000 0.500 0.500
Li 0.500 0.000 0.500
Li 0.500 0.500 0.000
Mn 0.000 0.000 0.500
Mn 0.000 0.500 0.000
Mn 0.500 0.000 0.000
Mn 0.500 0.500 0.500
Cd 0.250 0.250 0.250
Cd 0.250 0.750 0.750
Cd 0.750 0.250 0.750
Cd 0.750 0.750 0.250
Ga 0.250 0.250 0.750
Ga 0.250 0.750 0.250
Ga 0.750 0.250 0.250
Ga 0.750 0.750 0.750

## Properties
D(E_F) = 5.2 states/eV per cell
E_tot = -61.18 eV/cell
Symmetry = F-43m (216)
Volume = 64.7 Å³/f.u.

A relaxed ZnCuPt2 crystal, computed with PBE-GGA.

Unit cell a=4.016 b=4.016 c=7.075 alpha=90.00 beta=90.00 gamma=90.00
Atoms (fractional coordinates):
Zn 0.000 0.000 0.000
Zn 0.500 0.500 0.500
Cu 0.000 0.000 0.500
Cu 0.500 0.500 0.000
Pt 0.000 0.500 0.250
Pt 0.000 0.500 0.750
Pt 0.500 0.000 0.250
Pt 0.500 0.000 0.750

## Properties
D(E_F) = 3.6 states/eV per cell
E_tot = -37.94 eV/cell
Symmetry = I4/mmm (139)
Volume = 57.1 Å³/f.u.

A relaxed CsSbN2 crystal, computed with PBE-GGA.

Unit cell a=6.358 b=6.358 c=8.358 alpha=90.00 beta=90.00 gamma=90.00
Atoms (fractional coordinates):
Cs 0.000 0.000 0.000
Cs 0.000 0.500 0.250
Cs 0.500 0.000 0.750
Cs 0.500 0.500 0.500
Sb 0.000 0.000 0.500
Sb 0.000 0.500 0.750
Sb 0.500 0.000 0.250
Sb 0.500 0.500 0.000
N 0.112 0.250 0.625
N 0.250 0.612 0.875
N 0.250 0.888 0.375
N 0.388 0.250 0.125
N 0.612 0.750 0.125
N 0.750 0.112 0.375
N 0.750 0.388 0.875
N 0.888 0.750 0.625

## Properties
Raw formation energy = 1.21 eV/f.u.
D(E_F) = 0.0 states/eV per cell
E_tot = -81.68 eV/cell
Symmetry = I-42d (122)
Volume = 84.5 Å³/f.u.

A relaxed Hg3F4 crystal, computed with PBE-GGA.

Unit cell a=14.293 b=3.591 c=5.246 alpha=90.00 beta=104.75 gamma=90.00
Atoms (fractional coordinates):
Hg 0.000 0.000 0.000
Hg 0.209 0.500 0.645
Hg 0.291 0.000 0.355
Hg 0.500 0.500 0.000
Hg 0.709 0.000 0.645
Hg 0.791 0.500 0.355
F 0.053 0.500 0.274
F 0.157 0.000 0.883
F 0.343 0.500 0.117
F 0.447 0.000 0.726
F 0.553 0.000 0.274
F 0.657 0.500 0.883
F 0.843 0.000 0.117
F 0.947 0.500 0.726

## Properties
Raw formation energy = -8.73 eV/f.u.
D(E_F) = 0.4 states/eV per cell
E_tot = -34.24 eV/cell
Symmetry = C2/m (12)
Volume = 130.2 Å³/f.u.